Entry 1:
First-principles (GGA-PBE) data for an optimized crystal structure of BPtRh2Au, as listed in Alexandria via LeMat-Bulk.

Cell lengths 4.1534, 4.1534, 4.1787 Å; angles 90.00, 90.00, 90.00 degrees
Last column: nearest neighbours and their distance in Å.
Positions (direct):
B 0.0000 0.0000 0.0000  4 Rh 2.08, 2 Pt 2.09
Pt 0.0000 0.0000 0.5000  2 B 2.09
Rh 0.0000 0.5000 0.0000  2 B 2.08
Rh 0.5000 0.0000 0.0000  2 B 2.08
Au 0.5000 0.5000 0.5000  4 Pt 2.94, 8 Rh 2.95

**V**: 14.42 A^3/atom
**Fermi-level density of states**: 7.8 states/eV/f.u.
**Final energy**: -30.61 eV/cell



Entry 2:
First-principles (GGA-PBE) data for an optimized crystal structure of B2RuPtAu, as listed in Alexandria via LeMat-Bulk.

Cell lengths 4.0054, 4.0054, 5.3248 Å; angles 90.00, 90.00, 90.00 degrees
Last column: nearest neighbours and their distance in Å.
Positions (direct):
B 0.0000 0.5000 0.0000  2 Pt 2.00
B 0.5000 0.0000 0.0000  2 Pt 2.00
Ru 0.0000 0.0000 0.5000  4 Au 2.83
Pt 0.5000 0.5000 0.0000  4 B 2.00
Au 0.5000 0.5000 0.5000  2 Pt 2.66, 4 Ru 2.83

**V**: 17.09 A^3/atom
**Fermi-level density of states**: 3.1 states/eV/f.u.
**Final energy**: -25.93 eV/cell



Entry 3:
First-principles (GGA-PBE) data for an optimized crystal structure of ScBPt2Au, as listed in Alexandria via LeMat-Bulk.

Cell lengths 4.2756, 4.2756, 4.3970 Å; angles 90.00, 90.00, 90.00 degrees
Last column: nearest neighbours and their distance in Å.
Positions (direct):
Sc 0.0000 0.0000 0.0000  4 Au 3.02, 8 Pt 3.07
B 0.5000 0.5000 0.5000  4 Pt 2.14, 2 Au 2.20
Pt 0.0000 0.5000 0.5000  2 B 2.14
Pt 0.5000 0.0000 0.5000  2 B 2.14
Au 0.5000 0.5000 0.0000  2 B 2.20

**V**: 16.08 A^3/atom
**Fermi-level density of states**: 4.2 states/eV/f.u.
**Final energy**: -30.60 eV/cell



Among the records above, which one has the highest Fermi-level density of states? BPtRh2Au



What is the formula in the first record? BPtRh2Au